DFT (PBE) results for a relaxed structure of KYAgSe3.

Properties
The total moment is 0.4 μB/cell. For the electronic total energy, the calculation gives -110.299 eV for the cell shown.

abc: 4.1215 15.1169 10.7838
angles: 90.00 90.00 90.00
Space group Cmcm (No. 63)
Inequivalent atoms, fractional coordinates:
K 0.0000 0.2479 0.2500
Y 0.0000 0.0000 0.0000
Ag 0.0000 0.4655 0.7500
Se 0.0000 0.0761 0.7500
Se 0.0000 0.3704 0.5492

DFT (PBE) results for a relaxed structure of K2ZrAg2Se4.

Properties
The total moment is 0.0 μB/cell. For the electronic total energy, the calculation gives -78.212 eV for the cell shown.

abc: 6.2435 13.8177 6.2299
angles: 90.00 90.00 90.00
Space group C222 (No. 21)
Inequivalent atoms, fractional coordinates:
K 0.2500 0.2500 0.2477
Zr 0.0000 0.0000 0.5000
Ag 0.0000 0.0000 0.0000
Ag 0.0000 0.5000 0.5000
Se 0.2326 0.1123 0.7329

DFT (PBE) results for a relaxed structure of KZrAg3Se4.

Properties
The total moment is 0.0 μB/cell. For the electronic total energy, the calculation gives -38.895 eV for the cell shown.

abc: 6.4979 6.4979 6.4979
angles: 90.00 90.00 90.00
Space group P-43m (No. 215)
Inequivalent atoms, fractional coordinates:
K 0.0000 0.0000 0.0000
Zr 0.5000 0.5000 0.5000
Ag 0.0000 0.5000 0.5000
Se 0.2732 0.2732 0.2732

DFT (PBE) results for a relaxed structure of KSiAg3.

Properties
For the electronic total energy, the calculation gives -30.111 eV for the cell shown.

abc: 4.8199 7.0479 6.9555
angles: 90.00 90.00 90.00
Space group Amm2 (No. 38)
Inequivalent atoms, fractional coordinates:
K 0.0000 0.0000 0.0000
Si 0.5000 0.0000 0.6074
Ag 0.0000 0.0000 0.4933
Ag 0.5000 0.2071 0.3078

DFT (PBE) results for a relaxed structure of KSiAgTe3.

Properties
For the electronic total energy, the calculation gives -79.911 eV for the cell shown.

abc: 3.7664 16.2780 11.5352
angles: 90.00 90.00 90.00
Space group Cmcm (No. 63)
Inequivalent atoms, fractional coordinates:
K 0.0000 0.2362 0.2500
Si 0.0000 0.5000 0.0000
Ag 0.0000 0.0862 0.7500
Te 0.0000 0.1239 0.5208
Te 0.0000 0.4525 0.7500

DFT (PBE) results for a relaxed structure of KSmAg.

Properties
Its distance to the lowest polymorph of the same formula is 0.0 meV per atom. The total moment is 1.0 μB/cell. For the electronic total energy, the calculation gives -26.364 eV for the cell shown.

abc: 7.4400 7.4400 7.4400
angles: 90.00 90.00 90.00
Space group F-43m (No. 216)
Inequivalent atoms, fractional coordinates:
K 0.0000 0.0000 0.0000
Sm 0.2500 0.2500 0.7500
Ag 0.0000 0.0000 0.5000

DFT (PBE) results for a relaxed structure of KAg2Sn2.

Properties
For the electronic total energy, the calculation gives -30.533 eV for the cell shown.

abc: 4.9265 4.9265 11.3623
angles: 90.00 90.00 90.00
Space group I4/mmm (No. 139)
Inequivalent atoms, fractional coordinates:
K 0.0000 0.0000 0.0000
Ag 0.0000 0.5000 0.2500
Sn 0.0000 0.0000 0.3714

DFT (PBE) results for a relaxed structure of KAgSn.

Properties
For the electronic total energy, the calculation gives -29.712 eV for the cell shown.

abc: 7.2504 7.2504 7.2504
angles: 90.00 90.00 90.00
Space group F-43m (No. 216)
Inequivalent atoms, fractional coordinates:
K 0.0000 0.0000 0.0000
Ag 0.2500 0.2500 0.2500
Sn 0.0000 0.0000 0.5000

DFT (PBE) results for a relaxed structure of KAgSn3.

Properties
For the electronic total energy, the calculation gives -33.654 eV for the cell shown.

abc: 4.8978 4.8978 12.3799
angles: 90.00 90.00 90.00
Space group I4mm (No. 107)
Inequivalent atoms, fractional coordinates:
K 0.0000 0.0000 0.0000
Ag 0.0000 0.0000 0.3823
Sn 0.0000 0.0000 0.6081
Sn 0.0000 0.5000 0.2574

DFT (PBE) results for a relaxed structure of KAgSn.

Properties
For the electronic total energy, the calculation gives -23.989 eV for the cell shown.

abc: 7.5718 7.5718 7.5718
angles: 90.00 90.00 90.00
Space group F-43m (No. 216)
Inequivalent atoms, fractional coordinates:
K 0.0000 0.0000 0.0000
Ag 0.2500 0.2500 0.7500
Sn 0.2500 0.2500 0.2500

DFT (PBE) results for a relaxed structure of KAg3SnTe4.

Properties
For the electronic total energy, the calculation gives -27.925 eV for the cell shown.

abc: 7.0219 7.0219 7.0219
angles: 90.00 90.00 90.00
Space group P-43m (No. 215)
Inequivalent atoms, fractional coordinates:
K 0.0000 0.0000 0.0000
Ag 0.0000 0.5000 0.5000
Sn 0.5000 0.5000 0.5000
Te 0.2740 0.2740 0.2740

DFT (PBE) results for a relaxed structure of KAgSnTe3.

Properties
Its distance to the lowest polymorph of the same formula is 10.4 meV per atom. For the electronic total energy, the calculation gives -78.373 eV for the cell shown.

abc: 14.5971 4.6416 11.8320
angles: 90.00 90.00 90.00
Space group Pnma (No. 62)
Inequivalent atoms, fractional coordinates:
K 0.1563 0.2500 0.0111
Ag 0.2253 0.7500 0.2254
Sn 0.0261 0.7500 0.6533
Te 0.0395 0.7500 0.1983
Te 0.1210 0.2500 0.5144
Te 0.1910 0.7500 0.7882

DFT (PBE) results for a relaxed structure of KAgSnTe3.

Properties
Its distance to the lowest polymorph of the same formula is 45.5 meV per atom. For the electronic total energy, the calculation gives -77.531 eV for the cell shown.

abc: 10.0844 4.4429 17.5020
angles: 90.00 90.00 90.00
Space group Pnma (No. 62)
Inequivalent atoms, fractional coordinates:
K 0.0484 0.2500 0.1915
Ag 0.2047 0.2500 0.6314
Sn 0.1724 0.7500 0.4449
Te 0.0329 0.7500 0.6010
Te 0.1444 0.7500 0.9995
Te 0.2161 0.2500 0.7883

DFT (PBE) results for a relaxed structure of KAgSnTe3.

Properties
Its distance to the lowest polymorph of the same formula is 31.3 meV per atom. For the electronic total energy, the calculation gives -77.872 eV for the cell shown.

abc: 4.1614 15.7525 11.8477
angles: 90.00 90.00 90.00
Space group Cmcm (No. 63)
Inequivalent atoms, fractional coordinates:
K 0.0000 0.2470 0.2500
Ag 0.0000 0.0650 0.7500
Sn 0.0000 0.5000 0.0000
Te 0.0000 0.1374 0.5347
Te 0.0000 0.4426 0.7500

DFT (PBE) results for a relaxed structure of KAgSnTe3.

Properties
Its distance to the lowest polymorph of the same formula is 11.3 meV per atom. For the electronic total energy, the calculation gives -78.350 eV for the cell shown.

abc: 14.3752 4.6719 11.8429
angles: 90.00 90.00 90.00
Space group Pnma (No. 62)
Inequivalent atoms, fractional coordinates:
K 0.1560 0.2500 0.0106
Ag 0.2290 0.7500 0.2215
Sn 0.0243 0.7500 0.6536
Te 0.0401 0.7500 0.1985
Te 0.1233 0.2500 0.5170
Te 0.1910 0.7500 0.7895

DFT (PBE) results for a relaxed structure of KAgSnTe3.

Properties
Its distance to the lowest polymorph of the same formula is 5.5 meV per atom. For the electronic total energy, the calculation gives -39.245 eV for the cell shown.

abc: 8.8990 4.3882 10.9151
angles: 90.00 107.92 90.00
Space group P2_1/m (No. 11)
Inequivalent atoms, fractional coordinates:
K 0.2499 0.2500 0.1920
Ag 0.4447 0.2500 0.9124
Sn 0.1828 0.7500 0.6403
Te 0.0589 0.7500 0.3590
Te 0.2372 0.7500 0.9243
Te 0.4143 0.2500 0.6457

DFT (PBE) results for a relaxed structure of KAgSnTe3.

Properties
Its distance to the lowest polymorph of the same formula is 30.9 meV per atom. For the electronic total energy, the calculation gives -77.882 eV for the cell shown.

abc: 4.1851 15.5644 11.9089
angles: 90.00 90.00 90.00
Space group Cmcm (No. 63)
Inequivalent atoms, fractional coordinates:
K 0.0000 0.2449 0.2500
Ag 0.0000 0.0681 0.7500
Sn 0.0000 0.5000 0.0000
Te 0.0000 0.1393 0.5336
Te 0.0000 0.4447 0.7500

DFT (PBE) results for a relaxed structure of KAgSnTe3.

Properties
Its distance to the lowest polymorph of the same formula is 3.9 meV per atom. For the electronic total energy, the calculation gives -78.529 eV for the cell shown.

abc: 18.1033 4.7117 9.4049
angles: 90.00 92.24 90.00
Space group C2/m (No. 12)
Inequivalent atoms, fractional coordinates:
K 0.1449 0.0000 0.0832
Ag 0.0118 0.5000 0.3134
Sn 0.1635 0.0000 0.5847
Te 0.0000 0.0000 0.5000
Te 0.0000 0.5000 0.0000
Te 0.1380 0.5000 0.8044
Te 0.1737 0.5000 0.3590

DFT (PBE) results for a relaxed structure of KAgSnTe3.

Properties
Its distance to the lowest polymorph of the same formula is 10.3 meV per atom. For the electronic total energy, the calculation gives -78.376 eV for the cell shown.

abc: 12.4663 4.6097 13.5179
angles: 90.00 90.00 90.00
Space group Pnma (No. 62)
Inequivalent atoms, fractional coordinates:
K 0.2330 0.2500 0.0237
Ag 0.2280 0.2500 0.3333
Sn 0.0088 0.2500 0.7553
Te 0.0178 0.2500 0.4260
Te 0.0491 0.7500 0.8933
Te 0.2234 0.7500 0.2179

DFT (PBE) results for a relaxed structure of KAgSnTe3.

Properties
Its distance to the lowest polymorph of the same formula is 0.0 meV per atom. For the electronic total energy, the calculation gives -78.622 eV for the cell shown.

abc: 15.5777 4.4339 11.7006
angles: 90.00 90.00 90.00
Space group Pnma (No. 62)
Inequivalent atoms, fractional coordinates:
K 0.2201 0.2500 0.0248
Ag 0.0169 0.7500 0.0757
Sn 0.0268 0.2500 0.3482
Te 0.0893 0.7500 0.8525
Te 0.1008 0.2500 0.5756
Te 0.1394 0.7500 0.2588